No. 1
Here is an optimized crystal structure of RbCe4Se8 from Alexandria. Energies are from PBE.

```
RbCe4Se8
1.0
8.167 0.000 0.000
-4.083 7.073 0.000
0.000 0.000 17.781
Rb Ce Se
2 8 16
direct
0.000 0.000 0.000 Rb
0.000 0.000 0.500 Rb
0.000 0.000 0.250 Ce
0.000 0.000 0.750 Ce
0.002 0.501 0.250 Ce
0.499 0.501 0.250 Ce
0.499 0.998 0.250 Ce
0.501 0.002 0.750 Ce
0.501 0.499 0.750 Ce
0.998 0.499 0.750 Ce
0.166 0.332 0.654 Se
0.166 0.332 0.846 Se
0.166 0.834 0.654 Se
0.166 0.834 0.846 Se
0.332 0.166 0.154 Se
0.332 0.166 0.346 Se
0.333 0.667 0.154 Se
0.333 0.667 0.346 Se
0.667 0.333 0.654 Se
0.667 0.333 0.846 Se
0.668 0.834 0.654 Se
0.668 0.834 0.846 Se
0.834 0.166 0.154 Se
0.834 0.166 0.346 Se
0.834 0.668 0.154 Se
0.834 0.668 0.346 Se
```

The total magnetic moment comes out at 1.31 μB per formula unit. The raw formation energy comes out at -19.09 eV/f.u. The final energy is -5.51 eV/atom.

---

No. 2
Here is an optimized crystal structure of LaPm2ErTm from Alexandria. Energies are from PBE.

```
LaPm2ErTm
1.0
3.676 0.000 0.000
0.000 5.619 0.000
-0.012 0.000 8.594
La Pm Er Tm
1 2 1 1
direct
0.000 0.000 0.000 La
0.001 0.500 0.321 Pm
0.999 0.500 0.679 Pm
0.500 0.500 0.000 Er
0.500 0.000 0.500 Tm
```

The value obtained for the formation energy is 6.06 kcal/mol of atoms. The total magnetic moment comes out at 0.00 μB per formula unit. The final energy is -4.43 eV/atom.

---

No. 3
Here is an optimized crystal structure of Sc4CuPt from Alexandria. Energies are from PBE.

```
Sc4CuPt
1.0
4.560 0.000 0.000
0.000 4.560 0.000
0.000 0.000 6.421
Sc Cu Pt
4 1 1
direct
0.000 0.500 0.249 Sc
0.000 0.500 0.751 Sc
0.500 0.000 0.249 Sc
0.500 0.000 0.751 Sc
0.000 0.000 0.000 Cu
0.500 0.500 0.500 Pt
```

The value obtained for the formation energy is -9.08 kcal/mol of atoms. The total magnetic moment comes out at 0.00 μB per formula unit. The final energy is -6.30 eV/atom. Its distance to the lowest polymorph of the same formula is 0.000 eV/atom.

---

No. 4
Here is an optimized crystal structure of HoMg2Pa from Alexandria. Energies are from PBE.

```
HoMg2Pa
1.0
1.575 0.909 12.285
-1.575 0.909 12.285
0.000 -1.819 12.285
Ho Mg Pa
1 2 1
direct
0.000 0.000 0.000 Ho
0.412 0.412 0.412 Mg
0.588 0.588 0.588 Mg
0.500 0.500 0.500 Pa
```

The value obtained for the formation energy is 7.16 kcal/mol of atoms. The total magnetic moment comes out at 0.00 μB per formula unit. The final energy is -4.01 eV/atom. Its distance to the lowest polymorph of the same formula is 0.148 eV/atom.